1.
Material: Pm3Sm
Method: DFT, meta-GGA SCAN
State: PBEsol geometry

Lattice parameters (Å, degrees): 5.0362 5.0362 5.0362 90.00 90.00 90.00
Atoms (fractional coordinates):
Sm 0.0000 0.0000 0.0000
Pm 0.5000 0.0000 0.5000
Pm 0.5000 0.5000 0.0000
Pm 0.0000 0.5000 0.5000

Calculated values
Space group = No. 221
E above lowest polymorph = 0 meV/atom

***

2.
Material: CuNiRh2
Method: DFT, meta-GGA SCAN
State: PBEsol geometry

Lattice parameters (Å, degrees): 3.7103 3.7103 4.4268 114.78 114.78 90.00
Last column: magnetic moment on the atom in μB.
Atoms (fractional coordinates):
Rh 0.7500 0.2500 0.5000  0.74
Rh 0.2500 0.7500 0.5000  0.74
Cu 0.5000 0.5000 0.0000  0.11
Ni 0.0000 0.0000 0.0000  0.87

Calculated values
Space group = No. 139

***

3.
Material: Be2CuTc
Method: DFT, meta-GGA SCAN
State: PBEsol geometry

Lattice parameters (Å, degrees): 2.5226 2.9416 5.5072 90.00 90.00 90.00
Atoms (fractional coordinates):
Be 0.0000 0.0000 0.2294
Be 0.0000 0.0000 0.7706
Tc 0.5000 0.5000 0.5000
Cu 0.5000 0.5000 0.0000

Calculated values
Space group = No. 47
E above lowest polymorph = 0 meV/atom

***

4.
Material: CeIr2
Method: DFT, meta-GGA SCAN
State: PBEsol geometry

Lattice parameters (Å, degrees): 5.3221 5.3221 5.3221 60.00 60.00 60.00
Atoms (fractional coordinates):
Ir 0.6250 0.1250 0.1250
Ir 0.1250 0.6250 0.1250
Ir 0.1250 0.1250 0.6250
Ir 0.1250 0.1250 0.1250
Ce 0.5000 0.5000 0.5000
Ce 0.7500 0.7500 0.7500

Calculated values
Space group = No. 227

***

| no. | ΔE_f (eV per atom) |
| --- | --- |
| 1 | 0.0106 |
| 2 | 0.0865 |
| 3 | -0.1646 |
| 4 | -0.9118 |